1) Entry from Alexandria via LeMat-Bulk: a relaxed structure of Sb2TeMoC (GGA-PBE).

Unit cell a=4.6591 b=4.6591 c=4.6656 alpha=90.00 beta=90.00 gamma=90.00
Sites, in units of the cell vectors:
Sb  0.0000  0.5000  0.0000
Sb  0.5000  0.0000  0.0000
Te  0.0000  0.0000  0.5000
Mo  0.5000  0.5000  0.5000
C  0.0000  0.0000  0.0000

2) Entry from Alexandria via LeMat-Bulk: a relaxed structure of Sb2TeMoC (GGA-PBE).

Unit cell a=5.2516 b=5.2516 c=5.1785 alpha=90.00 beta=90.00 gamma=90.00
Sites, in units of the cell vectors:
Sb  0.0000  0.5000  0.0000
Sb  0.5000  0.0000  0.0000
Te  0.0000  0.0000  0.5000
Mo  0.0000  0.0000  0.0000
C  0.5000  0.5000  0.5000

The structure with the least stability is 2).

1) Entry from Alexandria via LeMat-Bulk: a relaxed structure of ScMoC2 (GGA-PBE).

Unit cell a=5.8076 b=5.8076 c=5.8076 alpha=30.96 beta=30.96 gamma=30.96
Sites, in units of the cell vectors:
Sc  0.0000  0.0000  0.0000
Mo  0.1765  0.1765  0.1765
C  0.5821  0.5821  0.5821
C  0.7641  0.7641  0.7641

2) Entry from Alexandria via LeMat-Bulk: a relaxed structure of ScMoC2 (GGA-PBE).

Unit cell a=5.5915 b=5.5915 c=5.5915 alpha=32.46 beta=32.46 gamma=32.46
Sites, in units of the cell vectors:
Sc  0.0000  0.0000  0.0000
Mo  0.5000  0.5000  0.5000
C  0.2447  0.2447  0.2447
C  0.7553  0.7553  0.7553

The structure with the least stability is 1).

1) Entry from Alexandria via LeMat-Bulk: a relaxed structure of ScMoC2 (GGA-PBE).

Unit cell a=5.9349 b=5.9349 c=5.9349 alpha=131.17 beta=131.17 gamma=71.55
Sites, in units of the cell vectors:
Sc  0.0000  0.0000  0.0000
Sc  0.7500  0.2500  0.5000
Mo  0.2500  0.7500  0.5000
Mo  0.5000  0.5000  0.0000
C  0.1686  0.6250  0.0436
C  0.3750  0.4186  0.5436
C  0.5814  0.1250  0.9564
C  0.8750  0.8314  0.4564

2) Entry from Alexandria via LeMat-Bulk: a relaxed structure of ScMoC2 (GGA-PBE).

Unit cell a=3.9364 b=3.9364 c=3.9364 alpha=60.00 beta=60.00 gamma=60.00
Sites, in units of the cell vectors:
Sc  0.0000  0.0000  0.0000
Mo  0.5000  0.5000  0.5000
C  0.2500  0.2500  0.2500
C  0.7500  0.7500  0.7500

The structure with the least stability is 2).

1) Entry from Alexandria via LeMat-Bulk: a relaxed structure of Sc3MoC (GGA-PBE).

Unit cell a=4.4839 b=4.4839 c=4.4839 alpha=90.00 beta=90.00 gamma=90.00
Sites, in units of the cell vectors:
Sc  0.0000  0.0000  0.5000
Sc  0.0000  0.5000  0.0000
Sc  0.5000  0.0000  0.0000
Mo  0.5000  0.5000  0.5000
C  0.0000  0.0000  0.0000

2) Entry from Alexandria via LeMat-Bulk: a relaxed structure of Sc3MoC (GGA-PBE).

Unit cell a=4.8995 b=4.8995 c=4.8995 alpha=90.00 beta=90.00 gamma=90.00
Sites, in units of the cell vectors:
Sc  0.0000  0.0000  0.5000
Sc  0.0000  0.5000  0.0000
Sc  0.5000  0.0000  0.0000
Mo  0.0000  0.0000  0.0000
C  0.5000  0.5000  0.5000

The structure with the least stability is 2).

1) Entry from Alexandria via LeMat-Bulk: a relaxed structure of ScMoC2Se (GGA-PBE).

Unit cell a=4.0023 b=4.0023 c=5.1649 alpha=90.00 beta=90.00 gamma=90.00
Sites, in units of the cell vectors:
Sc  0.0000  0.0000  0.0000
Mo  0.5000  0.5000  0.5000
C  0.0000  0.5000  0.5000
C  0.5000  0.0000  0.5000
Se  0.5000  0.5000  0.0000

2) Entry from Alexandria via LeMat-Bulk: a relaxed structure of ScMoC2Se (GGA-PBE).

Unit cell a=4.0619 b=4.0619 c=5.3465 alpha=90.00 beta=90.00 gamma=90.00
Sites, in units of the cell vectors:
Sc  0.0000  0.0000  0.0000
Mo  0.0000  0.0000  0.5000
C  0.0000  0.5000  0.0000
C  0.5000  0.0000  0.0000
Se  0.5000  0.5000  0.5000

The structure with the least stability is 2).

1) Entry from Alexandria via LeMat-Bulk: a relaxed structure of SrScMo2C (GGA-PBE).

Unit cell a=4.3012 b=4.3012 c=4.8654 alpha=90.00 beta=90.00 gamma=90.00
Sites, in units of the cell vectors:
Sr  0.0000  0.0000  0.0000
Sc  0.5000  0.5000  0.0000
Mo  0.0000  0.5000  0.5000
Mo  0.5000  0.0000  0.5000
C  0.5000  0.5000  0.5000

2) Entry from Alexandria via LeMat-Bulk: a relaxed structure of SrScMo2C (GGA-PBE).

Unit cell a=4.6852 b=4.6852 c=5.1069 alpha=90.00 beta=90.00 gamma=90.00
Sites, in units of the cell vectors:
Sr  0.0000  0.0000  0.0000
Sc  0.0000  0.0000  0.5000
Mo  0.0000  0.5000  0.0000
Mo  0.5000  0.0000  0.0000
C  0.5000  0.5000  0.5000

The structure with the least stability is 2).

1) Entry from Alexandria via LeMat-Bulk: a relaxed structure of SiMoC3 (GGA-PBE).

Unit cell a=3.6950 b=3.6950 c=3.6950 alpha=90.00 beta=90.00 gamma=90.00
Sites, in units of the cell vectors:
Si  0.0000  0.0000  0.0000
Mo  0.5000  0.5000  0.5000
C  0.0000  0.0000  0.5000
C  0.0000  0.5000  0.0000
C  0.5000  0.0000  0.0000

2) Entry from Alexandria via LeMat-Bulk: a relaxed structure of SiMoC3 (GGA-PBE).

Unit cell a=4.0940 b=4.0940 c=4.0940 alpha=90.00 beta=90.00 gamma=90.00
Sites, in units of the cell vectors:
Si  0.0000  0.0000  0.0000
Mo  0.5000  0.5000  0.5000
C  0.0000  0.5000  0.5000
C  0.5000  0.0000  0.5000
C  0.5000  0.5000  0.0000

The structure with the least stability is 2).

1) Entry from Alexandria via LeMat-Bulk: a relaxed structure of SiMo2C (GGA-PBE).

Unit cell a=6.2984 b=6.2984 c=6.2984 alpha=132.62 beta=132.62 gamma=69.26
Sites, in units of the cell vectors:
Si  0.0000  0.0000  0.0000
Si  0.7500  0.2500  0.5000
Mo  0.2018  0.6250  0.0768
Mo  0.3750  0.4518  0.5768
Mo  0.5482  0.1250  0.9232
Mo  0.8750  0.7982  0.4232
C  0.2500  0.7500  0.5000
C  0.5000  0.5000  0.0000

2) Entry from Alexandria via LeMat-Bulk: a relaxed structure of SiMo2C (GGA-PBE).

Unit cell a=6.7893 b=6.7893 c=6.7893 alpha=25.83 beta=25.83 gamma=25.83
Sites, in units of the cell vectors:
Si  0.0000  0.0000  0.0000
Mo  0.2270  0.2270  0.2270
Mo  0.7730  0.7730  0.7730
C  0.5000  0.5000  0.5000

The structure with the least stability is 1).

1) Entry from Alexandria via LeMat-Bulk: a relaxed structure of Si3MoC (GGA-PBE).

Unit cell a=3.9795 b=3.9795 c=3.9795 alpha=90.00 beta=90.00 gamma=90.00
Sites, in units of the cell vectors:
Si  0.0000  0.0000  0.5000
Si  0.0000  0.5000  0.0000
Si  0.5000  0.0000  0.0000
Mo  0.5000  0.5000  0.5000
C  0.0000  0.0000  0.0000

2) Entry from Alexandria via LeMat-Bulk: a relaxed structure of Si3MoC (GGA-PBE).

Unit cell a=4.7118 b=4.7118 c=4.7118 alpha=90.00 beta=90.00 gamma=90.00
Sites, in units of the cell vectors:
Si  0.0000  0.0000  0.5000
Si  0.0000  0.5000  0.0000
Si  0.5000  0.0000  0.0000
Mo  0.0000  0.0000  0.0000
C  0.5000  0.5000  0.5000

The structure with the least stability is 2).

1) Entry from Alexandria via LeMat-Bulk: a relaxed structure of Sm2Mo2C3 (GGA-PBE).

Unit cell a=5.9522 b=5.9522 c=5.8352 alpha=105.65 beta=105.65 gamma=33.78
Sites, in units of the cell vectors:
Sm  0.1112  0.1112  0.3241
Sm  0.8888  0.8888  0.6759
Mo  0.3475  0.3475  0.1174
Mo  0.6525  0.6525  0.8826
C  0.2248  0.2248  0.7659
C  0.5000  0.5000  0.0000
C  0.7752  0.7752  0.2341

2) Entry from Alexandria via LeMat-Bulk: a relaxed structure of Sm2Mo2C3 (GGA-PBE).

Unit cell a=6.2625 b=6.2625 c=5.8467 alpha=113.24 beta=113.24 gamma=31.62
Sites, in units of the cell vectors:
Sm  0.1079  0.1079  0.3188
Sm  0.8921  0.8921  0.6812
Mo  0.3404  0.3404  0.1770
Mo  0.6596  0.6596  0.8230
C  0.2500  0.2500  0.7729
C  0.5000  0.5000  0.5000
C  0.7500  0.7500  0.2271

The structure with the least stability is 1).

1) Entry from Alexandria via LeMat-Bulk: a relaxed structure of SnMoC3 (GGA-PBE).

Unit cell a=4.1880 b=4.1880 c=4.1880 alpha=90.00 beta=90.00 gamma=90.00
Sites, in units of the cell vectors:
Sn  0.0000  0.0000  0.0000
Mo  0.5000  0.5000  0.5000
C  0.0000  0.0000  0.5000
C  0.0000  0.5000  0.0000
C  0.5000  0.0000  0.0000

2) Entry from Alexandria via LeMat-Bulk: a relaxed structure of SnMoC3 (GGA-PBE).

Unit cell a=4.1524 b=4.1524 c=4.1524 alpha=90.00 beta=90.00 gamma=90.00
Sites, in units of the cell vectors:
Sn  0.0000  0.0000  0.0000
Mo  0.5000  0.5000  0.5000
C  0.0000  0.5000  0.5000
C  0.5000  0.0000  0.5000
C  0.5000  0.5000  0.0000

The structure with the least stability is 1).

1) Entry from Alexandria via LeMat-Bulk: a relaxed structure of Sn3MoC (GGA-PBE).

Unit cell a=5.2310 b=5.2310 c=5.2310 alpha=90.00 beta=90.00 gamma=90.00
Sites, in units of the cell vectors:
Sn  0.0000  0.0000  0.5000
Sn  0.0000  0.5000  0.0000
Sn  0.5000  0.0000  0.0000
Mo  0.0000  0.0000  0.0000
C  0.5000  0.5000  0.5000

2) Entry from Alexandria via LeMat-Bulk: a relaxed structure of Sn3MoC (GGA-PBE).

Unit cell a=4.6215 b=4.6215 c=4.6215 alpha=90.00 beta=90.00 gamma=90.00
Sites, in units of the cell vectors:
Sn  0.0000  0.0000  0.5000
Sn  0.0000  0.5000  0.0000
Sn  0.5000  0.0000  0.0000
Mo  0.5000  0.5000  0.5000
C  0.0000  0.0000  0.0000

The structure with the least stability is 1).